No. 1
LiZnPd6 | PBE-GGA | optimized geometry

Geometry as POSCAR:
```
LiZnPd6
1.0
4.6040 0.6798 0.0655
1.0238 4.5400 0.0655
1.7154 1.5910 6.6901
Li Zn Pd
1 1 6
Direct
0.5000 0.5000 0.5000
0.0000 0.0000 0.0000
0.0571 0.5442 0.3030
0.5442 0.0571 0.3030
0.4558 0.9429 0.6970
0.9429 0.4558 0.6970
0.3580 0.3580 0.9308
0.6420 0.6420 0.0692
```

Values from the calculation:
calculated total energy = -4.307 eV per atom
energy of formation = -14 meV per atom
magnetic moment = 0.00 μB per formula unit
crystal system = monoclinic


No. 2
LiZn3Pd | PBE-GGA | optimized geometry

Geometry as POSCAR:
```
LiZn3Pd
1.0
-0.8576 4.0775 -2.0956
-4.0362 1.7415 1.6182
2.9726 5.3129 4.0000
Li Zn Pd
2 6 2
Direct
0.3597 0.3437 0.0028
0.0514 0.8452 0.6118
0.1544 0.3458 0.4095
0.9544 0.3450 0.8099
0.6569 0.8451 0.4025
0.7547 0.3433 0.2121
0.2573 0.8428 0.2049
0.4558 0.8443 0.8047
0.8576 0.8436 0.0028
0.5533 0.3452 0.6117
```

Values from the calculation:
calculated total energy = -2.546 eV per atom
energy of formation = -360 meV per atom
magnetic moment = 0.00 μB per formula unit
crystal system = triclinic


No. 3
Li4ZnPd2 | PBE-GGA | optimized geometry

Geometry as POSCAR:
```
Li4ZnPd2
1.0
5.2135 0.0191 -2.9882
-1.7305 4.9179 -2.9882
-0.5148 -0.7297 5.1393
Li Zn Pd
4 1 2
Direct
0.7860 0.7860 0.0719
0.2856 0.2856 0.0711
0.7857 0.2857 0.0714
0.2857 0.7857 0.0714
0.7855 0.7855 0.5714
0.2859 0.7856 0.5714
0.7856 0.2859 0.5714
```

Values from the calculation:
calculated total energy = -3.038 eV per atom
energy of formation = -279 meV per atom
magnetic moment = 0.00 μB per formula unit
crystal system = tetragonal


No. 4
Li3Zn3Pd2 | PBE-GGA | optimized geometry

Geometry as POSCAR:
```
Li3Zn3Pd2
1.0
4.3469 0.0000 0.0000
-2.1734 4.6377 0.0000
0.0000 0.0000 11.9327
Li Zn Pd
6 6 4
Direct
0.9290 0.8581 0.4058
0.0710 0.1419 0.9058
0.9290 0.8581 0.0942
0.0710 0.1419 0.5942
0.7414 0.4827 0.2500
0.2586 0.5173 0.7500
0.6232 0.2464 0.4493
0.3768 0.7536 0.9493
0.6232 0.2464 0.0507
0.3768 0.7536 0.5507
0.4673 0.9347 0.2500
0.5327 0.0653 0.7500
0.7721 0.5443 0.8678
0.2279 0.4557 0.3678
0.7721 0.5443 0.6322
0.2279 0.4557 0.1322
```

Values from the calculation:
calculated total energy = -2.818 eV per atom
energy of formation = -325 meV per atom
magnetic moment = 0.00 μB per formula unit
crystal system = orthorhombic